# K4Dy3VO8 PBE+U relaxed
data_K4Dy3VO8
_cell_length_a 6.777
_cell_length_b 7.363
_cell_length_c 6.827
_cell_angle_alpha 117.62
_cell_angle_beta 119.76
_cell_angle_gamma 90.00
_symmetry_space_group_name_H-M 'P 1'
_symmetry_Int_Tables_number 1
loop_
_symmetry_equiv_pos_as_xyz
'x,y,z'
loop_
_atom_site_label
_atom_site_type_symbol
_atom_site_fract_x
_atom_site_fract_y
_atom_site_fract_z
Dy1 Dy 0.000 0.500 0.500
Dy2 Dy 0.500 0.500 0.000
Dy3 Dy 0.500 0.500 0.500
O1 O 0.214 0.678 0.963
O2 O 0.251 0.322 0.037
O3 O 0.786 0.322 0.037
O4 O 0.771 0.311 0.543
O5 O 0.728 0.687 0.456
O6 O 0.749 0.678 0.963
O7 O 0.272 0.313 0.544
O8 O 0.229 0.689 0.457
K1 K 0.000 0.000 0.000
K2 K 0.000 0.000 0.500
K3 K 0.500 0.000 0.000
K4 K 0.500 0.000 0.500
V1 V 0.000 0.500 0.000
# Size of the total moment ... 0.125 μB/atom
# Space-group type ... C2/m
# VASP energy ... -6.582 eV/atom